First-principles (PBE with a Hubbard U) data for a relaxed TbVAgO4 crystal, as listed in Alexandria.

Values from the calculation:
- uncorrected energy (eV/atom) = -7.01

Unit cell a=6.0129 b=6.1602 c=6.8492 alpha=90.00 beta=109.70 gamma=90.00
Element x y z (fractional)
Tb 0.1851 0.2500 0.0389
Tb 0.8149 0.7500 0.9611
V 0.2564 0.7500 0.8126
V 0.7436 0.2500 0.1874
Ag 0.4693 0.7500 0.3713
Ag 0.5307 0.2500 0.6287
O 0.0530 0.5330 0.8223
O 0.0530 0.9670 0.8223
O 0.4733 0.7500 0.6795
O 0.4889 0.7500 0.0698
O 0.5111 0.2500 0.9302
O 0.5267 0.2500 0.3205
O 0.9470 0.0330 0.1777
O 0.9470 0.4670 0.1777